Entry 1:
Here is a geometry-optimized CaTb3Rh8 structure from Alexandria. Energies are from PBE.

Its final energy is -82.78 eV/f.u. Its crystal system is trigonal. For the formation energy from the elements, the calculation gives -779 kJ/mol of formula units.

The space group is R3m (No. 160, hexagonal axes) and the conventional cell measures 5.3412, 5.3412 and 26.2545 Å, with angles of 90.00, 90.00 and 120.00 degrees. Symmetry generates all atoms from Ca at (0.0000, 0.0000, 0.0000), Tb at (0.0000, 0.0000, 0.3726), Tb at (0.0000, 0.0000, 0.4990), Tb at (0.0000, 0.0000, 0.8761), Rh at (0.0000, 0.0000, 0.1870), Rh at (0.0000, 0.0000, 0.6869), Rh at (0.0011, 0.5005, 0.4375) and Rh at (0.1672, 0.3345, 0.2696).

---

Entry 2:
Here is a geometry-optimized SrAs2RuRh structure from Alexandria. Energies are from PBE.

Its final energy is -31.43 eV/f.u. Its crystal system is tetragonal. For the formation energy from the elements, the calculation gives -369 kJ/mol of formula units.

The space group is I-4m2 (No. 119) and the conventional cell measures 4.1289, 4.1289 and 11.9225 Å, with angles of 90.00, 90.00 and 90.00 degrees. Symmetry generates all atoms from Sr at (0.0000, 0.0000, 0.0000), As at (0.0000, 0.0000, 0.3614), Ru at (0.0000, 0.5000, 0.7500) and Rh at (0.0000, 0.5000, 0.2500).

---

Q: Which formula does entry 1 have?
A: CaTb3Rh8

---

Q: Which value of formation energy from the elements does entry 1 give?
A: -779 kJ/mol of formula units